! Mg3Ni3PdO8 | Alexandria | PBE with a Hubbard U | optimized geometry; values from VASP
&SYSTEM
  ibrav = 0, nat = 15, ntyp = 4
/
ATOMIC_SPECIES
Ni 58.69 Ni.upf
Mg 24.30 Mg.upf
O 16.00 O.upf
Pd 106.42 Pd.upf
ATOMIC_POSITIONS angstrom
Ni -1.5050 0.8757 2.4417
Mg 1.5050 2.6084 -0.0044
O -1.5741 2.6574 3.6034
O 0.0000 1.7423 1.1992
O 0.0000 -0.0722 3.6066
Ni 3.0099 -1.7328 2.4462
Pd 0.0000 -1.7328 2.4462
Mg -1.5050 2.6084 -0.0044
O 4.5840 -0.9060 1.2801
O 3.0099 0.0091 3.6843
O 3.0099 1.8235 1.2768
Ni 1.5050 0.8757 2.4417
Mg 0.0000 0.0000 0.0000
O 1.5741 2.6574 3.6034
O 1.4358 -0.9060 1.2801
CELL_PARAMETERS angstrom
6.0199 0.0000 0.0000
-3.0099 5.2169 -0.0089
0.0000 -3.4655 4.8924
! volume = 153.5 Å³ per cell
! N(E_F) = 0.00 states/eV/f.u.
! magnetic moment = 0.400 μB per atom
! electronic total energy = -81.514 eV/f.u.